18
Lattice="-1.570 3.183 -4.306 4.823 -7.980 -4.041 -8.972 -5.151 -0.535" Properties=species:S:1:pos:R:3 comment="LaY2Er5Sc PBE-GGA relaxed" total_magnetization_mub_per_cell=0.0 formation_energy_mev_per_atom=181 final_energy_ev_per_cell=-90.75 spacegroup="Cmc2_1, No. 36" pbc="T T T"
Y -5.659 -5.217 -1.792
Y -1.936 -3.046 -1.545
Y -4.964 -7.580 -7.408
Y 0.255 -4.551 -7.072
Er -2.725 -9.953 -6.362
Er -0.638 -5.213 -3.620
Er -6.366 -5.474 -5.339
Er -0.990 -2.069 -4.784
Er -0.050 -0.367 -0.253
Er -1.597 -7.243 -8.386
Er -3.939 -7.426 -4.052
Er -2.766 0.135 -2.507
Er -4.466 -2.652 -3.947
Er 2.867 -4.930 -4.690
Sc 1.481 -2.604 -2.465
Sc -2.956 -4.908 -6.165
La -0.709 -7.662 -5.405
La -8.672 -4.388 -3.697

4
Lattice="-4.002 0.870 -1.912 2.977 -3.044 -2.493 -0.815 -2.423 0.602" Properties=species:S:1:pos:R:3 comment="MnCu PBE-GGA relaxed" total_magnetization_mub_per_cell=6.1 formation_energy_mev_per_atom=247 final_energy_ev_per_cell=-25.54 spacegroup="C2/m, No. 12" pbc="T T T"
Cu 0.940 -2.050 -1.250
Cu -4.805 -1.558 -1.315
Mn -1.470 -2.825 -1.902
Mn -2.396 -0.783 -0.663

5
Lattice="4.599 0.000 0.000 0.000 5.217 0.000 0.000 0.000 4.599" Properties=species:S:1:pos:R:3 comment="Ti2TlRuO PBE-GGA relaxed" total_magnetization_mub_per_cell=0.0 final_energy_ev_per_cell=-29.39 spacegroup="P4/mmm, No. 123" formation_energy_uncorrected_ev_per_atom=0.60 pbc="T T T"
Tl 0.000 2.608 0.000
Ti 0.000 0.000 2.299
Ti 2.299 0.000 0.000
Ru 0.000 0.000 0.000
O 2.299 2.608 2.299

3
Lattice="5.677 0.000 0.000 2.839 4.917 0.000 2.839 1.639 4.636" Properties=species:S:1:pos:R:3 comment="Ba2Au PBE-GGA relaxed" total_magnetization_mub_per_cell=0.0 formation_energy_mev_per_atom=-459 final_energy_ev_per_cell=-8.50 spacegroup="Fm-3m, No. 225" pbc="T T T"
Ba 8.516 4.917 3.477
Ba 2.839 1.639 1.159
Au 0.000 0.000 0.000

20
Lattice="-21.154 -8.194 6.249 3.224 -4.416 5.125 7.137 5.784 0.494" Properties=species:S:1:pos:R:3 comment="SrCa3Rh PBE-GGA relaxed" total_magnetization_mub_per_cell=0.0 formation_energy_mev_per_atom=-185 final_energy_ev_per_cell=-63.85 spacegroup="P2_1/c, No. 14" pbc="T T T"
Ca -3.853 -2.636 3.699
Ca -8.449 -7.389 7.516
Ca 0.543 -3.635 5.552
Ca -11.336 -3.191 6.315
Ca 0.732 1.835 1.822
Ca 5.492 -0.119 4.313
Ca -6.940 -4.190 8.168
Ca -16.285 -6.707 7.554
Ca 1.422 -0.029 5.261
Ca -12.214 -6.797 6.606
Ca -2.343 0.562 4.351
Ca -11.525 -8.662 10.045
Rh -5.147 0.314 4.611
Rh 2.825 0.199 2.772
Rh -5.645 -7.140 7.256
Rh -13.618 -7.025 9.096
Sr -0.087 -1.705 2.175
Sr -7.596 -2.225 4.752
Sr -10.706 -5.122 9.692
Sr -3.197 -4.602 7.115

8
Lattice="3.788 0.000 0.000 0.000 3.788 0.000 1.894 1.894 8.256" Properties=species:S:1:pos:R:3 comment="SiNiIr2 PBE-GGA relaxed" total_magnetization_mub_per_cell=0.0 final_energy_ev_per_cell=-56.29 spacegroup="I-42d, No. 122" formation_energy_uncorrected_ev_per_atom=0.20 pbc="T T T"
Ir 0.886 2.841 2.064
Ir 2.841 2.779 6.192
Ir 2.902 0.947 2.064
Ir 4.735 4.796 6.192
Si 1.894 3.788 4.128
Si 1.894 1.894 0.000
Ni 3.788 1.894 4.128
Ni 0.000 0.000 0.000